Record 1
Density functional theory data (PBE) for an optimized crystal structure of Cs2CoSnI6.

Structure (extended XYZ):
```
10
Lattice="-0.683 4.853 6.811 -0.380 -6.845 4.839 5.359 -0.936 6.373" Properties=species:S:1:pos:R:3 pbc="T T T"
Cs 2.072 1.461 9.505
Cs 2.224 -4.388 8.519
I 2.250 -0.967 6.084
I 2.046 -1.960 11.939
I -0.280 -0.525 3.071
I -0.783 -1.467 8.579
I -0.603 1.769 6.291
I -0.460 -3.761 5.359
Co -0.532 -0.996 5.825
Sn 0.000 0.000 0.000
```

Values from the calculation:
Raw formation energy ... -16.9 kcal/mol of atoms
M_tot ... 2.43 μB per formula unit

Record 2
Density functional theory data (PBE) for an optimized crystal structure of Pm4Ge2O.

Structure (extended XYZ):
```
14
Lattice="-3.477 0.469 2.209 1.292 -6.406 3.395 6.078 5.659 8.364" Properties=species:S:1:pos:R:3 pbc="T T T"
Pm 5.719 0.637 8.867
Pm 1.651 -1.384 2.892
Pm 4.343 3.161 6.165
Pm 3.026 -3.907 5.594
Pm 2.633 -1.559 8.366
Pm 1.260 1.282 5.602
Pm -0.459 -4.124 4.044
Pm 4.352 3.846 9.924
Ge 4.394 -0.944 11.007
Ge -0.501 0.667 2.961
Ge 2.940 1.506 8.197
Ge 0.953 -1.784 5.770
O 3.039 2.829 4.182
O 0.646 -3.203 1.698
```

Values from the calculation:
Raw formation energy ... -26.6 kcal/mol of atoms
ΔE to the lowest computed polymorph ... 0.1141 eV per atom
M_tot ... 0.18 μB per formula unit

Record 3
Density functional theory data (PBE) for an optimized crystal structure of SrPr8In6.

Structure (extended XYZ):
```
15
Lattice="9.474 0.000 0.000 4.737 8.205 0.000 4.737 2.735 6.646" Properties=species:S:1:pos:R:3 pbc="T T T"
Sr 0.000 0.000 0.000
Pr 7.906 2.716 2.281
Pr 11.075 2.735 4.365
Pr 6.305 5.451 4.365
Pr 9.474 5.470 0.036
Pr 9.474 5.470 6.610
Pr 12.643 5.489 2.281
Pr 7.873 8.205 2.281
Pr 11.042 8.224 4.365
In 7.949 2.726 5.548
In 11.088 2.777 1.098
In 6.335 5.419 1.098
In 12.613 5.521 5.548
In 7.860 8.162 5.548
In 10.999 8.214 1.098
```

Values from the calculation:
M_tot ... 0.00 μB per formula unit
Energy of formation ... -0.24 eV/atom

Record 4
Density functional theory data (PBE) for an optimized crystal structure of NaTiP.

Structure (extended XYZ):
```
6
Lattice="4.017 0.000 0.000 2.008 3.479 0.000 2.008 1.160 10.391" Properties=species:S:1:pos:R:3 pbc="T T T"
Ti 2.008 1.160 0.883
Ti 6.025 3.479 9.507
Na 2.008 1.160 6.864
Na 6.025 3.479 3.527
P 4.017 2.319 8.708
P 4.017 2.319 1.683
```

Values from the calculation:
M_tot ... 0.90 μB per formula unit
Energy of formation ... -0.57 eV/atom

Record 5
Density functional theory data (PBE) for an optimized crystal structure of Ca2BiBr.

Structure (extended XYZ):
```
8
Lattice="4.692 0.000 0.000 0.000 6.045 0.000 0.000 0.000 10.051" Properties=species:S:1:pos:R:3 pbc="T T T"
Ca 1.254 4.237 1.686
Ca 1.252 4.237 7.455
Ca 3.598 1.215 4.767
Ca 3.600 1.215 0.485
Bi 1.255 1.215 2.654
Bi 3.601 4.237 9.568
Br 1.242 1.215 6.847
Br 3.588 4.237 5.376
```

Values from the calculation:
Raw formation energy ... -29.1 kcal/mol of atoms
M_tot ... 0.00 μB per formula unit

Record 6
Density functional theory data (PBE) for an optimized crystal structure of RePt3Rh12.

Structure (extended XYZ):
```
16
Lattice="3.867 0.000 0.000 0.000 3.867 0.000 0.000 0.000 15.485" Properties=species:S:1:pos:R:3 pbc="T T T"
Re 0.000 0.000 0.000
Pt 0.000 0.000 3.892
Pt 0.000 0.000 7.742
Pt 0.000 0.000 11.593
Rh 1.934 1.934 0.000
Rh 1.934 1.934 3.839
Rh 1.934 1.934 7.742
Rh 1.934 1.934 11.645
Rh 1.934 0.000 1.863
Rh 1.934 0.000 5.810
Rh 1.934 0.000 9.674
Rh 1.934 0.000 13.621
Rh 0.000 1.934 1.863
Rh 0.000 1.934 5.810
Rh 0.000 1.934 9.674
Rh 0.000 1.934 13.621
```

Values from the calculation:
M_tot ... 0.00 μB per formula unit
Energy of formation ... -0.05 eV/atom

Record 7
Density functional theory data (PBE) for an optimized crystal structure of Pm2Cu3.

Structure (extended XYZ):
```
10
Lattice="-3.218 -0.393 1.889 -2.143 -0.451 -3.744 3.465 -12.665 -0.458" Properties=species:S:1:pos:R:3 pbc="T T T"
Pm -0.503 -7.985 -2.519
Pm -1.392 -5.523 0.206
Pm -2.956 -2.337 -1.795
Pm 1.060 -11.171 -0.518
Cu -0.983 -4.664 -2.644
Cu -0.912 -8.845 0.331
Cu -1.793 -10.396 -1.490
Cu -0.103 -3.113 -0.823
Cu -0.452 -0.694 -0.914
Cu -1.443 -12.815 -1.399
```

Values from the calculation:
ΔE to the lowest computed polymorph ... 0.0000 eV per atom
M_tot ... 0.00 μB per formula unit
Energy of formation ... -0.21 eV/atom

Record 8
Density functional theory data (PBE) for an optimized crystal structure of BeNi2Ru.

Structure (extended XYZ):
```
4
Lattice="4.374 0.014 0.000 -1.661 4.047 0.000 0.000 0.000 2.534" Properties=species:S:1:pos:R:3 pbc="T T T"
Ru 2.187 0.007 1.267
Be -0.830 2.023 1.267
Ni 0.000 0.000 0.000
Ni 1.357 2.030 0.000
```

Values from the calculation:
M_tot ... 0.00 μB per formula unit
Energy of formation ... -0.03 eV/atom